No. 1
This record from the Alexandria database describes a relaxed Sm2TePd crystal. The functional is GGA-PBE.

Computed properties:
Energy above the most stable polymorph in this dataset ... 23 meV/atom
Symmetry ... No. 12
E_form (uncorrected) ... -101 kJ/mol of atoms

Lattice parameters (Å, degrees): 4.211 4.211 7.897 105.55 105.55 60.11
Positions (direct):
1 Sm 0.239 0.239 0.218
2 Sm 0.761 0.761 0.782
3 Te 0.000 0.000 0.500
4 Pd 0.500 0.500 0.000

---

No. 2
This record from the Alexandria database describes a relaxed Li3Nd4Te8 crystal. The functional is GGA-PBE.

Computed properties:
Symmetry ... No. 12
E_form (uncorrected) ... -115 kJ/mol of atoms

Lattice parameters (Å, degrees): 8.851 8.851 8.812 119.35 119.35 90.82
Positions (direct):
1 Li 0.000 0.000 0.000
2 Li 0.000 0.500 0.000
3 Li 0.500 0.000 0.000
4 Nd 0.000 0.000 0.500
5 Nd 0.000 0.500 0.500
6 Nd 0.500 0.000 0.500
7 Nd 0.500 0.500 0.000
8 Te 0.245 0.245 0.998
9 Te 0.247 0.753 0.000
10 Te 0.251 0.749 0.500
11 Te 0.255 0.255 0.494
12 Te 0.745 0.745 0.506
13 Te 0.749 0.251 0.500
14 Te 0.753 0.247 0.000
15 Te 0.755 0.755 0.002